Material: YCr2BiF
Method: DFT, PBE with a Hubbard U
State: relaxed

Geometry as POSCAR:
```
YCr2BiF
1.0
5.374 0.000 0.000
0.000 5.995 0.000
0.000 0.000 5.374
Y Cr Bi F
1 2 1 1
Cartesian
0.000 2.998 0.000 Y
0.000 0.000 2.687 Cr
2.687 0.000 0.000 Cr
0.000 0.000 0.000 Bi
2.687 2.998 2.687 F
```

Total magnetization in μB per formula unit: 10.62
Crystal system: tetragonal
E_tot in eV per formula unit: -26.088